P | Material: PuPPd3
Method: DFT, PBE-GGA
State: relaxed

a = 4.615 Å, b = 4.615 Å, c = 4.615 Å
α = 90.00°, β = 90.00°, γ = 90.00°
Site moments in Bohr magnetons follow the coordinates.
Sites, in units of the cell vectors:
Pd  0.000  0.500  0.000  -0.06
P  0.000  0.000  0.000  -0.03
Pd  0.500  0.000  0.000  -0.06
Pu  0.500  0.500  0.500  5.33
Pd  0.000  0.000  0.500  -0.06

Results
* crystal system: cubic
* Fermi-level density of states: 22.3 states/eV/f.u.
* SG: Pm-3m (221)



Q | Material: PuPPd3
Method: DFT, PBE-GGA
State: relaxed

a = 5.457 Å, b = 7.460 Å, c = 8.509 Å
α = 90.00°, β = 90.00°, γ = 90.00°
Site moments in Bohr magnetons follow the coordinates.
Sites, in units of the cell vectors:
Pu  0.195  0.142  0.250  5.15
P  0.500  0.000  0.000  -0.05
Pd  0.118  0.829  0.460  0.00
P  0.000  0.500  0.500  -0.05
Pd  0.382  0.329  0.960  0.00
Pd  0.618  0.671  0.040  0.00
Pd  0.382  0.329  0.540  0.00
Pd  0.727  0.951  0.250  -0.02
Pd  0.618  0.671  0.460  0.00
Pd  0.882  0.171  0.540  0.00
Pd  0.227  0.549  0.250  -0.02
Pd  0.273  0.049  0.750  -0.02
Pd  0.882  0.171  0.960  0.00
Pu  0.805  0.858  0.750  5.15
P  0.000  0.500  0.000  -0.05
Pd  0.773  0.451  0.750  -0.02
Pd  0.118  0.829  0.040  0.00
P  0.500  0.000  0.500  -0.05
Pu  0.695  0.358  0.250  5.15
Pu  0.305  0.642  0.750  5.15

Results
* crystal system: orthorhombic
* Fermi-level density of states: 10.7 states/eV/f.u.
* SG: Pnma (62)



Stability, lowest: P